The following is a PBE calculation of an optimized crystal structure of La2Nd4C, from Alexandria.

Unit cell a=5.096 b=5.096 c=18.074 alpha=90.00 beta=90.00 gamma=90.00
Space group I4/mmm (No. 139)
Unique sites:
La: 0.000 0.000 0.177
Nd: 0.000 0.000 0.364
Nd: 0.000 0.500 0.000
C: 0.000 0.000 0.500

Results
Formation energy from the elements in eV per formula unit: 1.08
Total energy in eV per atom: -5.2955